Entry 1:
YTm6Te8 | PBE | relaxed

```
15
Lattice="7.4297 0.0000 4.2896 2.4766 7.0048 4.2896 0.0000 0.0000 8.5791" Properties=species:S:1:pos:R:3 pbc="T T T"
Te 7.3520 5.1986 8.5791
Te 3.7538 5.1986 6.5017
Te 6.1526 1.8062 6.5017
Te 6.1526 1.8062 10.6566
Te 2.4766 1.7512 4.2896
Te 3.7538 5.1986 10.6566
Te 7.4297 5.2536 12.8687
Te 2.5543 1.8062 8.5791
Tm 0.0000 0.0000 4.2896
Tm 3.7149 0.0000 6.4343
Tm 3.7149 0.0000 2.1448
Tm 1.2383 3.5024 6.4343
Tm 1.2383 3.5024 2.1448
Tm 4.9532 3.5024 4.2896
Y 0.0000 0.0000 0.0000
```

Crystal system: cubic
Formation energy from raw total energies (kJ per mole of atoms): -124.53
Space group: Fm-3m (225)

---

Entry 2:
ScTeIN2 | PBE | relaxed

```
5
Lattice="-0.9085 0.8527 3.9304 3.1354 -2.3734 1.2397 3.8916 5.0396 -0.1938" Properties=species:S:1:pos:R:3 pbc="T T T"
Sc 3.0592 1.7595 2.4881
Te 0.0000 0.0000 0.0000
N 1.5677 -1.1867 0.6199
N -0.4543 0.4264 1.9652
I 1.9458 2.5198 -0.0969
```

Crystal system: tetragonal
Formation energy from raw total energies (kJ per mole of atoms): 110.39
Space group: P4/mmm (123)

---

Entry 3:
La2TbPr4Er2 | PBE | relaxed

```
9
Lattice="-3.2139 0.3653 4.0748 -1.1165 -7.3351 -3.5442 6.3456 -0.6331 5.0616" Properties=species:S:1:pos:R:3 pbc="T T T"
Pr 1.1340 -4.2405 4.5957
Pr 0.8812 -3.3623 0.9965
Pr 0.1836 -0.8179 3.5393
Pr 1.8317 -6.7849 2.0529
La -1.6380 -5.5867 2.5301
La 3.6532 -2.0161 3.0621
Er 4.5304 -5.3957 4.0568
Er -2.5151 -2.2071 1.5354
Tb 0.0000 0.0000 0.0000
```

Crystal system: monoclinic
Formation energy (eV/atom): 0.03
Space group: C2/m (12)

---

Entry 4:
Ce2ScAlC | PBE | relaxed

```
5
Lattice="-1.7494 -0.6319 4.1947 4.5431 0.0446 1.9015 -0.3026 4.8781 0.6087" Properties=species:S:1:pos:R:3 pbc="T T T"
C 0.0000 0.0000 0.0000
Sc -0.8747 -0.3160 2.0973
Ce -0.1513 2.4390 0.3043
Ce 2.2716 0.0223 0.9507
Al 1.2455 2.1454 3.3524
```

Crystal system: tetragonal
Formation energy (eV/atom): -0.29
Space group: P4/mmm (123)

---

Entry 5:
K4CoS4 | PBE | relaxed

```
9
Lattice="-2.3434 6.8092 1.4441 -6.8213 -2.5499 0.9537 5.7770 -3.0237 4.9552" Properties=species:S:1:pos:R:3 pbc="T T T"
K -1.1717 3.4046 0.7220
K -3.4107 -1.2749 0.4768
K -4.0943 1.7644 3.7130
K 0.7066 -0.5288 3.6399
S -2.8820 4.9856 2.6248
S 3.9256 -2.0935 4.1087
S -5.7910 -1.0943 2.3062
S -2.0281 0.6735 5.6663
Co 0.0000 0.0000 0.0000
```

Crystal system: tetragonal
Formation energy from raw total energies (kJ per mole of atoms): -70.07
Space group: I-42m (121)

---

Entry 6:
NaPmRhPb | PBE | relaxed

```
4
Lattice="-0.0441 -2.8452 -4.1035 3.6620 0.4199 -3.3688 3.3410 -3.6736 -0.5271" Properties=species:S:1:pos:R:3 pbc="T T T"
Rh 3.4795 -3.0494 -3.9996
Na 0.0000 0.0000 0.0000
Pm 1.7397 -1.5247 -1.9998
Pb 5.2192 -4.5742 -5.9995
```

Crystal system: cubic
Formation energy (eV/atom): -0.30
Space group: F-43m (216)

---

Entry 7:
YZr5N4 | PBE | relaxed

```
10
Lattice="-0.3207 1.8430 2.7616 -3.7471 -4.8172 2.7798 6.8113 -2.5515 0.4794" Properties=species:S:1:pos:R:3 pbc="T T T"
Zr -2.0339 -1.4871 2.7707
Zr 1.0743 -2.0896 1.5193
Zr 1.6693 -3.4361 4.5014
Zr 3.7406 -0.9036 3.0518
Zr -0.9970 -4.6221 2.9689
N 3.6714 -4.2299 5.2637
N 0.9509 -5.4651 3.7578
N -0.9278 -1.2957 0.7570
N 1.7926 -0.0605 2.2629
Y -0.1603 0.9215 1.3808
```

Crystal system: monoclinic
Formation energy from raw total energies (kJ per mole of atoms): -130.45
Space group: C2/m (12)

---

Entry 8:
Tl3AsCl6 | PBE | relaxed

```
20
Lattice="7.3061 0.0000 0.0538 0.0000 8.0512 0.0000 0.1684 0.0000 10.7747" Properties=species:S:1:pos:R:3 pbc="T T T"
As 3.7372 4.0256 5.4142
As 0.0000 0.0000 0.0000
Tl 0.0842 0.0000 5.3873
Tl 3.6530 4.0256 0.0269
Tl 0.2549 4.6160 2.7552
Tl 3.4823 0.5904 2.6590
Tl 7.2196 3.4352 8.0732
Tl 3.9922 7.4608 8.1694
Cl 5.3785 1.3276 10.3533
Cl 1.1632 2.1394 0.7040
Cl 0.9410 0.3714 8.3993
Cl 1.6413 2.6980 4.9390
Cl 6.3113 5.9119 10.1244
Cl 2.9646 4.3970 7.7896
Cl 5.8332 5.3532 5.8894
Cl 4.5099 3.6542 3.0389
Cl 6.5335 7.6798 2.4291
Cl 4.9005 1.8862 6.1182
Cl 2.0959 6.7236 0.4752
Cl 2.5740 6.1650 4.7102
```

Crystal system: monoclinic
Formation energy from raw total energies (kJ per mole of atoms): -85.66
Space group: P2_1/c (14)

---

Entry 9:
PmNdEr2 | PBE | relaxed

```
4
Lattice="-2.5510 1.6060 -1.9784 -3.4630 -0.8968 0.4517 -3.0854 8.4835 7.5793" Properties=species:S:1:pos:R:3 pbc="T T T"
Er -2.8158 6.4258 5.5612
Er -2.2751 2.2999 1.5149
Nd -4.0101 0.4781 -1.0126
Pm -4.5483 4.5852 3.0153
```

Crystal system: trigonal
Formation energy (eV/atom): 0.02
Space group: R3m (160)

---

Entry 10:
La2NbAl2 | PBE | relaxed

```
10
Lattice="7.4132 0.0000 0.0000 0.0000 7.4132 0.0000 0.0000 0.0000 4.7370" Properties=species:S:1:pos:R:3 pbc="T T T"
La 1.2678 4.9744 2.3685
La 6.1454 2.4388 2.3685
La 4.9744 6.1454 2.3685
La 2.4388 1.2678 2.3685
Al 6.4269 4.6929 0.0000
Al 0.9863 2.7203 0.0000
Al 4.6929 0.9863 0.0000
Al 2.7203 6.4269 0.0000
Nb 0.0000 0.0000 0.0000
Nb 3.7066 3.7066 0.0000
```

Crystal system: tetragonal
Formation energy (eV/atom): 0.00
Space group: P4/mbm (127)

---

Entry 11:
PrNd2Y3Ho6 | PBE | relaxed

```
12
Lattice="-2.7241 5.2927 -1.7458 -0.8913 -5.1779 -3.2980 -8.0570 -2.6337 8.2527" Properties=species:S:1:pos:R:3 pbc="T T T"
Ho -8.4189 -3.6279 2.1335
Ho -2.6421 -2.3832 0.5578
Ho -9.0302 -0.1357 2.6512
Ho -6.9180 -1.9392 4.9126
Ho -3.2534 1.1091 1.0755
Ho -4.7543 -0.5797 -1.7037
Nd -1.5022 -1.6876 -2.7806
Nd -2.1131 1.8024 -2.2632
Y -5.8362 -1.2594 1.6045
Y -6.4470 2.2303 2.1218
Y -5.2253 -4.7492 1.0872
Pr 0.0000 0.0000 0.0000
```

Crystal system: monoclinic
Formation energy (eV/atom): 0.02
Space group: C2/m (12)

---

Entry 12:
TbYGa2 | PBE | relaxed

```
4
Lattice="4.3732 0.0000 -0.0281 0.0000 4.0564 0.0000 -2.1490 0.0000 5.4822" Properties=species:S:1:pos:R:3 pbc="T T T"
Tb 1.0261 2.0282 2.3210
Ga -1.1495 2.0282 4.6978
Ga -1.1547 0.0000 3.0264
Y 1.0429 0.0000 5.3663
```

Crystal system: monoclinic
Formation energy (eV/atom): -0.65
Space group: Pm (6)

---

Entry 13:
SrInNi | PBE | relaxed

```
3
Lattice="5.0877 0.0000 0.0000 2.5439 4.4061 0.0000 2.5439 1.4687 4.1541" Properties=species:S:1:pos:R:3 pbc="T T T"
In 0.0000 0.0000 0.0000
Sr 7.6316 4.4061 3.1156
Ni 5.0877 2.9374 2.0771
```

Crystal system: cubic
Formation energy (eV/atom): 0.62
Space group: F-43m (216)

---

Entry 14:
Mg5In2H | PBE | relaxed

```
8
Lattice="-6.1422 -0.3247 -0.8639 -0.4756 -3.8693 4.8354 2.7348 5.6160 0.7737" Properties=species:S:1:pos:R:3 pbc="T T T"
Mg -4.7297 -1.1733 0.5937
Mg -1.9008 -2.9428 3.4389
Mg -4.9671 -3.1048 3.0077
Mg -3.6008 -0.3073 3.3891
Mg -1.6634 -1.0113 1.0249
H -3.8707 1.3466 4.6860
In -0.5314 -0.1353 3.8286
In -3.3646 1.6370 0.9790
```

Crystal system: tetragonal
Space group: I4mm (107)
Electronic total energy (eV/cell): -16.567

---

Entry 15:
Rb2SnPbBr6 | PBE | relaxed

```
10
Lattice="8.3695 0.0000 0.0000 0.0000 8.3695 0.0000 4.1847 4.1847 5.9164" Properties=species:S:1:pos:R:3 pbc="T T T"
Pb 0.0000 0.0000 0.0000
Br 4.1847 4.1847 2.9278
Br 6.2559 2.1136 0.0000
Br 2.1136 2.1136 0.0000
Br 6.2559 6.2559 0.0000
Br 2.1136 6.2559 0.0000
Br 8.3695 8.3695 2.9887
Rb 4.1847 8.3695 2.9582
Rb 8.3695 4.1847 2.9582
Sn 4.1847 4.1847 0.0000
```

Crystal system: cubic
Formation energy from raw total energies (kJ per mole of atoms): -115.33
Space group: Fm-3m (225)

---

Entry 16:
YTh2Co | PBE | relaxed

```
16
Lattice="6.1726 0.0000 0.0000 0.0000 7.0197 0.0000 0.0000 0.0000 9.8941" Properties=species:S:1:pos:R:3 pbc="T T T"
Y 4.0641 3.8125 2.4735
Y 5.1949 0.3026 2.4735
Y 2.1086 3.2073 7.4206
Y 0.9777 6.7171 7.4206
Th 4.1315 5.7762 5.6245
Th 2.0412 1.2435 0.6775
Th 1.0452 4.7534 4.2696
Th 1.0452 4.7534 0.6775
Th 4.1315 5.7762 9.2167
Th 5.1275 2.2663 9.2167
Th 5.1275 2.2663 5.6245
Th 2.0412 1.2435 4.2696
Co 2.3355 6.2890 2.4735
Co 0.7508 2.7792 2.4735
Co 3.8371 0.7307 7.4206
Co 5.4218 4.2405 7.4206
```

Crystal system: orthorhombic
Formation energy (eV/atom): -0.18
Space group: Pnma (62)

---

Entry 17:
NaNbZn | PBE | relaxed

```
12
Lattice="-2.5830 -0.1173 -8.1174 -1.4884 -2.7868 0.5139 -7.6056 4.4963 2.3551" Properties=species:S:1:pos:R:3 pbc="T T T"
Na -4.9290 -0.5633 -2.3776
Na -4.6825 -1.5312 -6.9126
Na -6.9945 3.1234 1.6642
Na -6.7480 2.1555 -2.8708
Nb -7.7012 0.3188 -5.6233
Nb -3.9758 1.2734 0.3749
Nb -9.3106 2.0924 -0.6663
Nb -2.3664 -0.5002 -4.5821
Zn -6.7035 0.7940 -0.1567
Zn -4.9735 0.7982 -5.0917
Zn -9.5454 1.6519 -3.7353
Zn -2.1316 -0.0597 -1.5131
```

Crystal system: orthorhombic
Formation energy (eV/atom): 0.38
Space group: Pnma (62)

---

Entry 18:
Pm2Pr3Si4 | PBE | relaxed

```
18
Lattice="7.8643 0.3291 0.0000 -2.2545 7.5398 0.0000 0.0000 0.0000 7.9297" Properties=species:S:1:pos:R:3 pbc="T T T"
Si 6.8363 0.9469 4.1324
Si 2.7056 7.0865 0.1675
Si -1.2265 6.9219 3.7973
Si 3.6821 4.0238 4.8686
Si 5.8597 4.0096 0.9038
Si -0.2500 3.8592 7.0258
Si 1.9276 3.8451 3.0610
Si 2.9041 0.7824 7.7621
Pm 0.3665 1.6208 1.4990
Pm 1.3111 6.0835 5.4639
Pm 5.2433 6.2481 6.4306
Pm 4.2986 1.7853 2.4658
Pr 5.4080 2.0383 6.4776
Pr 2.8049 3.9344 0.0000
Pr 1.4758 1.8738 5.4169
Pr -1.1273 3.7699 3.9648
Pr 0.2018 5.8306 1.4521
Pr 4.1339 5.9951 2.5127
```

Crystal system: monoclinic
Formation energy from raw total energies (kJ per mole of atoms): -63.21
Space group: P2_1/c (14)

---

Entry 19:
ZnCd3Os | PBE | relaxed

```
5
Lattice="5.2324 0.0000 0.0000 0.0000 5.2324 0.0000 0.0000 0.0000 5.2324" Properties=species:S:1:pos:R:3 pbc="T T T"
Cd 0.0000 2.6162 0.0000
Cd 2.6162 0.0000 0.0000
Cd 0.0000 0.0000 2.6162
Os 0.0000 0.0000 0.0000
Zn 2.6162 2.6162 2.6162
```

Crystal system: cubic
Formation energy (eV/atom): 0.90
Space group: Pm-3m (221)

---

Entry 20:
ZrGaS2 | PBE | relaxed

```
4
Lattice="3.5785 0.0000 0.0000 1.7893 3.0991 0.0000 1.7893 1.0330 7.6242" Properties=species:S:1:pos:R:3 pbc="T T T"
S 1.7893 1.0330 6.0659
S 1.7893 1.0330 1.6173
Ga 3.5785 2.0661 3.7360
Zr 3.5785 2.0661 0.0170
```

Crystal system: trigonal
Formation energy from raw total energies (kJ per mole of atoms): -100.95
Space group: R3m (160)

---

no.,V (Å³ per cell)
1,446.5
2,108.3
3,312.9
4,111.3
5,341.6
6,88.0
7,153.7
8,633.7
9,130.6
10,260.3
11,388.4
12,97.0
13,93.1
14,173.9
15,414.4
16,428.7
17,249.3
18,476.1
19,143.3
20,84.6